Compound: HoInPd
Source: Alexandria
Functional: GGA-PBE
Structure: optimized geometry

The structure belongs to space group P-62m (No. 189); the cell edges are 7.7495, 7.7495 and 3.7813 Å and the angles 90.00°, 90.00° and 120.00°. The distinct sites, in fractional coordinates, are Ho at (0.0000, 0.5936, 0.0000), In at (0.0000, 0.2618, 0.5000), Pd at (0.0000, 0.0000, 0.0000) and Pd at (0.3333, 0.6667, 0.5000).

The calculation puts the volume at 197 Å³/cell. The energy of formation comes out at -0.813 eV per atom.

=====

Compound: Ho2In3Pd7
Source: Alexandria
Functional: GGA-PBE
Structure: optimized geometry

The structure belongs to space group Cmmm (No. 65); the cell edges are 4.856, 20.990 and 4.773 Å and the angles 90.00°, 90.00° and 90.00°. The distinct sites, in fractional coordinates, are Ho at (0.000, 0.145, 0.000), In at (0.000, 0.346, 0.500), In at (0.000, 0.500, 0.500), Pd at (0.000, 0.000, 0.000), Pd at (0.000, 0.071, 0.500), Pd at (0.000, 0.285, 0.000) and Pd at (0.000, 0.430, 0.000).

The offset from the most stable computed form is 0.06 eV per formula unit. The calculation puts the volume at 487 Å³/cell. The energy of formation comes out at -0.549 eV per atom.

=====

Compound: HoIn2Pd
Source: Alexandria
Functional: GGA-PBE
Structure: optimized geometry

The structure belongs to space group I4mm (No. 107); the cell edges are 13.816, 13.816 and 9.207 Å and the angles 90.00°, 90.00° and 90.00°. The distinct sites, in fractional coordinates, are Ho at (0.000, 0.000, 0.000), Ho at (0.000, 0.000, 0.473), Ho at (0.000, 0.280, 0.401), Ho at (0.202, 0.202, 0.887), In at (0.000, 0.163, 0.729), In at (0.000, 0.383, 0.875), In at (0.130, 0.130, 0.235), In at (0.142, 0.350, 0.137), Pd at (0.000, 0.213, 0.035), Pd at (0.000, 0.500, 0.126) and Pd at (0.161, 0.161, 0.543).

The calculation puts the volume at 1758 Å³/cell. The energy of formation comes out at -0.654 eV per atom.